Entry from the Alexandria database: an optimized crystal structure of Tb4Y4Tm5 (PBE).

The total energy is -5.11 eV/atom. The volume comes out at 812.1 Å³ per cell. The formation energy is 0.31 eV/f.u.

The structure belongs to space group I4/m (No. 87); the cell edges are 12.7546, 12.7546 and 4.9918 Å and the angles 90.00°, 90.00° and 90.00°. The distinct sites, in fractional coordinates, are Tb at (0.0772, 0.6153, 0.0000), Y at (0.1529, 0.2295, 0.0000), Tm at (0.0000, 0.0000, 0.0000) and Tm at (0.0381, 0.8091, 0.5000).

***

Entry from the Alexandria database: an optimized crystal structure of Tb5YTm5 (PBE).

As for the distance to the lowest polymorph of the same formula: 0 meV/atom. The total energy is -4.57 eV/atom. The volume comes out at 355.4 Å³ per cell. The formation energy is 1.65 eV/f.u.

The structure belongs to space group P-1 (No. 2); the cell edges are 6.7984, 6.9291 and 8.2776 Å and the angles 75.98°, 76.79° and 72.34°. The distinct sites, in fractional coordinates, are Tb at (0.0000, 0.0000, 0.0000), Tb at (0.1570, 0.1321, 0.3588), Tb at (0.3248, 0.2687, 0.6551), Y at (0.0000, 0.5000, 0.0000), Tm at (0.2087, 0.6386, 0.3153), Tm at (0.3537, 0.7505, 0.7189) and Tm at (0.5000, 0.0000, 0.0000).

***

Entry from the Alexandria database: an optimized crystal structure of Tb5Y4Tm4 (PBE).

The total energy is -5.12 eV/atom. The volume comes out at 816.0 Å³ per cell. The formation energy is 0.29 eV/f.u.

The structure belongs to space group I4/m (No. 87); the cell edges are 12.7723, 12.7723 and 5.0020 Å and the angles 90.00°, 90.00° and 90.00°. The distinct sites, in fractional coordinates, are Tb at (0.0000, 0.0000, 0.0000), Tb at (0.0379, 0.8067, 0.5000), Y at (0.1536, 0.2314, 0.0000) and Tm at (0.0761, 0.6137, 0.0000).

***

Entry from the Alexandria database: an optimized crystal structure of Tb9Y11Tm4 (PBE).

The total energy is -5.40 eV/atom. The volume comes out at 1542.9 Å³ per cell. The formation energy is 1.10 eV/f.u.

The structure belongs to space group Cmmm (No. 65); the cell edges are 16.6723, 25.1955 and 3.6730 Å and the angles 90.00°, 90.00° and 90.00°. The distinct sites, in fractional coordinates, are Tb at (0.0000, 0.0000, 0.0000), Tb at (0.1022, 0.2330, 0.0000), Tb at (0.1424, 0.4275, 0.0000), Y at (0.0000, 0.1320, 0.5000), Y at (0.0000, 0.3402, 0.5000), Y at (0.0000, 0.5000, 0.5000), Y at (0.2068, 0.0000, 0.5000), Y at (0.2258, 0.3193, 0.5000) and Tm at (0.1552, 0.1011, 0.0000).